[1]
## TcH2Ir (PBE)

Data for a geometry-optimized TcH2Ir structure.

Values from the calculation:
- SG = I-42d, No. 122
- D(E_F) (states/eV/cell) = 4.35
- DFT total energy (eV/atom) = -6.230

Geometry as CIF:
```
data_TcH2Ir
_chemical_formula_sum 'Tc2 H4 Ir2'
_symmetry_space_group_name_H-M 'P 1'
_symmetry_Int_Tables_number 1
_symmetry_space_group_name_Hall 'P 1'
_cell_length_a 5.106
_cell_length_b 5.106
_cell_length_c 5.106
_cell_angle_alpha 132.09
_cell_angle_beta 132.09
_cell_angle_gamma 70.09
loop_
_atom_site_label
_atom_site_type_symbol
_atom_site_fract_x
_atom_site_fract_y
_atom_site_fract_z
Tc1 Tc 0.000 0.000 0.000
Tc2 Tc 0.750 0.250 0.500
H1 H 0.132 0.625 0.007
H2 H 0.375 0.382 0.507
H3 H 0.618 0.125 0.993
H4 H 0.875 0.868 0.493
Ir1 Ir 0.250 0.750 0.500
Ir2 Ir 0.500 0.500 0.000
```



[2]
## PmNd2Ga2Cu2 (PBE)

Data for a geometry-optimized PmNd2Ga2Cu2 structure.

Values from the calculation:
- SG = R-3m, No. 166
- D(E_F) (states/eV/cell) = 6.17
- DFT total energy (eV/atom) = -4.451

Geometry as CIF:
```
data_PmNd2Ga2Cu2
_chemical_formula_sum 'Pm1 Nd2 Ga2 Cu2'
_symmetry_space_group_name_H-M 'P 1'
_symmetry_Int_Tables_number 1
_symmetry_space_group_name_Hall 'P 1'
_cell_length_a 9.801
_cell_length_b 9.801
_cell_length_c 9.801
_cell_angle_alpha 26.23
_cell_angle_beta 26.23
_cell_angle_gamma 26.23
loop_
_atom_site_label
_atom_site_type_symbol
_atom_site_fract_x
_atom_site_fract_y
_atom_site_fract_z
Pm1 Pm 0.000 0.000 0.000
Nd1 Nd 0.124 0.124 0.124
Nd2 Nd 0.876 0.876 0.876
Ga1 Ga 0.266 0.266 0.266
Ga2 Ga 0.734 0.734 0.734
Cu1 Cu 0.397 0.397 0.397
Cu2 Cu 0.603 0.603 0.603
```